(1)
This record from Alexandria describes GdAlO3 after structural relaxation. The functional is PBEsol.

mass density: 7.48 Mg/m³
DOS at the Fermi energy: 0.00 states/eV per atom
E: -10.214 eV per atom
crystal system: orthorhombic
volume: 10.3 Å³/atom

CIF file:
```
data_GdAlO3
_chemical_formula_sum 'Gd4 Al4 O12'
_space_group_name_H-M_alt 'P 1'
_space_group_IT_number 1
_cell_length_a 5.231
_cell_length_b 5.307
_cell_length_c 7.429
_cell_angle_alpha 90.00
_cell_angle_beta 90.00
_cell_angle_gamma 90.00
loop_
_space_group_symop_operation_xyz
'x,y,z'
loop_
_atom_site_label
_atom_site_type_symbol
_atom_site_fract_x
_atom_site_fract_y
_atom_site_fract_z
Gd1 Gd 0.010 0.957 0.750
Gd2 Gd 0.510 0.543 0.250
Gd3 Gd 0.490 0.457 0.750
Gd4 Gd 0.990 0.043 0.250
Al1 Al 0.500 0.000 0.500
Al2 Al 0.000 0.500 0.500
Al3 Al 0.000 0.500 0.000
Al4 Al 0.500 0.000 0.000
O1 O 0.713 0.287 0.459
O2 O 0.213 0.213 0.541
O3 O 0.787 0.787 0.041
O4 O 0.287 0.713 0.959
O5 O 0.287 0.713 0.541
O6 O 0.787 0.787 0.459
O7 O 0.213 0.213 0.959
O8 O 0.713 0.287 0.041
O9 O 0.077 0.483 0.250
O10 O 0.577 0.017 0.750
O11 O 0.423 0.983 0.250
O12 O 0.923 0.517 0.750
```

(2)
This record from Alexandria describes GdAl3Pd2 after structural relaxation. The functional is PBEsol.

mass density: 7.20 Mg/m³
DOS at the Fermi energy: 0.49 states/eV per atom
E: -7.293 eV per atom
crystal system: hexagonal
formation energy from the elements: -0.853 eV/atom
volume: 17.3 Å³/atom

CIF file:
```
data_GdAl3Pd2
_chemical_formula_sum 'Gd1 Al3 Pd2'
_space_group_name_H-M_alt 'P 1'
_space_group_IT_number 1
_cell_length_a 4.168
_cell_length_b 5.367
_cell_length_c 5.367
_cell_angle_alpha 120.00
_cell_angle_beta 90.00
_cell_angle_gamma 90.00
loop_
_space_group_symop_operation_xyz
'x,y,z'
loop_
_atom_site_label
_atom_site_type_symbol
_atom_site_fract_x
_atom_site_fract_y
_atom_site_fract_z
Gd1 Gd 0.000 0.000 0.000
Al1 Al 0.500 0.000 0.500
Al2 Al 0.500 0.500 0.500
Al3 Al 0.500 0.500 0.000
Pd1 Pd 0.000 0.667 0.333
Pd2 Pd 0.000 0.333 0.667
```

(3)
This record from Alexandria describes GdAlPd after structural relaxation. The functional is PBEsol.

mass density: 8.23 Mg/m³
DOS at the Fermi energy: 0.67 states/eV per atom
E: -9.021 eV per atom
crystal system: hexagonal
formation energy from the elements: -0.855 eV/atom
volume: 19.6 Å³/atom

CIF file:
```
data_GdAlPd
_chemical_formula_sum 'Gd3 Al3 Pd3'
_space_group_name_H-M_alt 'P 1'
_space_group_IT_number 1
_cell_length_a 4.109
_cell_length_b 7.032
_cell_length_c 7.032
_cell_angle_alpha 120.00
_cell_angle_beta 90.00
_cell_angle_gamma 90.00
loop_
_space_group_symop_operation_xyz
'x,y,z'
loop_
_atom_site_label
_atom_site_type_symbol
_atom_site_fract_x
_atom_site_fract_y
_atom_site_fract_z
Gd1 Gd 0.500 0.000 0.582
Gd2 Gd 0.500 0.582 0.000
Gd3 Gd 0.500 0.418 0.418
Al1 Al 0.000 0.235 0.000
Al2 Al 0.000 0.765 0.765
Al3 Al 0.000 0.000 0.235
Pd1 Pd 0.000 0.667 0.333
Pd2 Pd 0.000 0.333 0.667
Pd3 Pd 0.500 0.000 0.000
```

(4)
This record from Alexandria describes GdAlRh after structural relaxation. The functional is PBEsol.

mass density: 8.46 Mg/m³
DOS at the Fermi energy: 0.61 states/eV per atom
E: -9.765 eV per atom
crystal system: orthorhombic
formation energy from the elements: -0.873 eV/atom
volume: 18.8 Å³/atom

CIF file:
```
data_GdAlRh
_chemical_formula_sum 'Gd4 Al4 Rh4'
_space_group_name_H-M_alt 'P 1'
_space_group_IT_number 1
_cell_length_a 4.139
_cell_length_b 6.862
_cell_length_c 7.935
_cell_angle_alpha 90.00
_cell_angle_beta 90.00
_cell_angle_gamma 90.00
loop_
_space_group_symop_operation_xyz
'x,y,z'
loop_
_atom_site_label
_atom_site_type_symbol
_atom_site_fract_x
_atom_site_fract_y
_atom_site_fract_z
Gd1 Gd 0.250 0.038 0.320
Gd2 Gd 0.750 0.962 0.680
Gd3 Gd 0.250 0.538 0.180
Gd4 Gd 0.750 0.462 0.820
Rh1 Rh 0.250 0.265 0.620
Rh2 Rh 0.750 0.735 0.380
Rh3 Rh 0.250 0.765 0.880
Rh4 Rh 0.750 0.235 0.120
Al1 Al 0.250 0.135 0.939
Al2 Al 0.750 0.865 0.061
Al3 Al 0.250 0.635 0.561
Al4 Al 0.750 0.365 0.439
```

(5)
This record from Alexandria describes Gd2Al9Rh3 after structural relaxation. The functional is PBEsol.

mass density: 6.25 Mg/m³
DOS at the Fermi energy: 0.40 states/eV per atom
E: -7.271 eV per atom
crystal system: orthorhombic
formation energy from the elements: -0.832 eV/atom
volume: 16.4 Å³/atom

CIF file:
```
data_Gd2Al9Rh3
_chemical_formula_sum 'Gd4 Al18 Rh6'
_space_group_name_H-M_alt 'P 1'
_space_group_IT_number 1
_cell_length_a 7.490
_cell_length_b 7.490
_cell_length_c 9.404
_cell_angle_alpha 90.00
_cell_angle_beta 90.00
_cell_angle_gamma 119.33
loop_
_space_group_symop_operation_xyz
'x,y,z'
loop_
_atom_site_label
_atom_site_type_symbol
_atom_site_fract_x
_atom_site_fract_y
_atom_site_fract_z
Gd1 Gd 0.672 0.995 0.750
Gd2 Gd 0.328 0.005 0.250
Gd3 Gd 0.995 0.672 0.750
Gd4 Gd 0.005 0.328 0.250
Al1 Al 0.128 0.128 0.750
Al2 Al 0.872 0.872 0.250
Al3 Al 0.336 0.001 0.925
Al4 Al 0.664 0.999 0.075
Al5 Al 0.664 0.999 0.425
Al6 Al 0.001 0.336 0.575
Al7 Al 0.336 0.001 0.575
Al8 Al 0.999 0.664 0.425
Al9 Al 0.999 0.664 0.075
Al10 Al 0.001 0.336 0.925
Al11 Al 0.333 0.333 0.451
Al12 Al 0.667 0.667 0.549
Al13 Al 0.667 0.667 0.951
Al14 Al 0.333 0.333 0.049
Al15 Al 0.551 0.340 0.750
Al16 Al 0.449 0.660 0.250
Al17 Al 0.340 0.551 0.750
Al18 Al 0.660 0.449 0.250
Rh1 Rh 0.328 0.672 0.000
Rh2 Rh 0.672 0.328 0.000
Rh3 Rh 0.672 0.328 0.500
Rh4 Rh 0.328 0.672 0.500
Rh5 Rh 0.000 0.000 0.000
Rh6 Rh 0.000 0.000 0.500
```

(6)
This record from Alexandria describes GdAl10Ru2 after structural relaxation. The functional is PBEsol.

mass density: 5.00 Mg/m³
DOS at the Fermi energy: 0.33 states/eV per atom
E: -6.334 eV per atom
crystal system: orthorhombic
formation energy from the elements: -0.510 eV/atom
volume: 16.1 Å³/atom

CIF file:
```
data_GdAl10Ru2
_chemical_formula_sum 'Gd2 Al20 Ru4'
_space_group_name_H-M_alt 'P 1'
_space_group_IT_number 1
_cell_length_a 6.809
_cell_length_b 6.809
_cell_length_c 9.079
_cell_angle_alpha 90.00
_cell_angle_beta 90.00
_cell_angle_gamma 96.91
loop_
_space_group_symop_operation_xyz
'x,y,z'
loop_
_atom_site_label
_atom_site_type_symbol
_atom_site_fract_x
_atom_site_fract_y
_atom_site_fract_z
Gd1 Gd 0.874 0.126 0.750
Gd2 Gd 0.126 0.874 0.250
Al1 Al 0.413 0.141 0.750
Al2 Al 0.141 0.413 0.250
Al3 Al 0.587 0.859 0.250
Al4 Al 0.859 0.587 0.750
Al5 Al 0.520 0.781 0.750
Al6 Al 0.781 0.520 0.250
Al7 Al 0.480 0.219 0.250
Al8 Al 0.219 0.480 0.750
Al9 Al 0.843 0.157 0.400
Al10 Al 0.157 0.843 0.600
Al11 Al 0.843 0.157 0.100
Al12 Al 0.157 0.843 0.900
Al13 Al 0.624 0.376 0.550
Al14 Al 0.376 0.624 0.450
Al15 Al 0.624 0.376 0.950
Al16 Al 0.376 0.624 0.050
Al17 Al 0.775 0.775 0.000
Al18 Al 0.775 0.775 0.500
Al19 Al 0.225 0.225 0.000
Al20 Al 0.225 0.225 0.500
Ru1 Ru 0.500 0.000 0.000
Ru2 Ru 0.000 0.500 0.000
Ru3 Ru 0.500 0.000 0.500
Ru4 Ru 0.000 0.500 0.500
```

(7)
This record from Alexandria describes Gd3AlVS7 after structural relaxation. The functional is PBEsol.

mass density: 5.40 Mg/m³
DOS at the Fermi energy: 0.37 states/eV per atom
E: -9.052 eV per atom
crystal system: hexagonal
volume: 19.8 Å³/atom

CIF file:
```
data_Gd3AlVS7
_chemical_formula_sum 'Gd6 Al2 V2 S14'
_space_group_name_H-M_alt 'P 1'
_space_group_IT_number 1
_cell_length_a 6.033
_cell_length_b 9.547
_cell_length_c 9.547
_cell_angle_alpha 120.00
_cell_angle_beta 90.00
_cell_angle_gamma 90.00
loop_
_space_group_symop_operation_xyz
'x,y,z'
loop_
_atom_site_label
_atom_site_type_symbol
_atom_site_fract_x
_atom_site_fract_y
_atom_site_fract_z
Gd1 Gd 0.229 0.157 0.377
Gd2 Gd 0.229 0.220 0.843
Gd3 Gd 0.229 0.623 0.780
Gd4 Gd 0.729 0.843 0.623
Gd5 Gd 0.729 0.780 0.157
Gd6 Gd 0.729 0.377 0.220
Al1 Al 0.653 0.333 0.667
Al2 Al 0.153 0.667 0.333
V1 V 0.061 0.000 0.000
V2 V 0.561 0.000 0.000
S1 S 0.812 0.100 0.232
S2 S 0.812 0.133 0.900
S3 S 0.812 0.768 0.867
S4 S 0.312 0.900 0.768
S5 S 0.312 0.867 0.100
S6 S 0.312 0.232 0.133
S7 S 0.503 0.434 0.521
S8 S 0.503 0.087 0.566
S9 S 0.503 0.479 0.913
S10 S 0.003 0.566 0.479
S11 S 0.003 0.913 0.434
S12 S 0.003 0.521 0.087
S13 S 0.020 0.333 0.667
S14 S 0.520 0.667 0.333
```

(8)
This record from Alexandria describes TbGdAl6 after structural relaxation. The functional is PBEsol.

mass density: 5.16 Mg/m³
DOS at the Fermi energy: 0.40 states/eV per atom
E: -5.949 eV per atom
crystal system: hexagonal
formation energy from the elements: -0.448 eV/atom
volume: 19.2 Å³/atom

CIF file:
```
data_TbGdAl6
_chemical_formula_sum 'Tb1 Gd1 Al6'
_space_group_name_H-M_alt 'P 1'
_space_group_IT_number 1
_cell_length_a 4.607
_cell_length_b 6.212
_cell_length_c 6.212
_cell_angle_alpha 120.00
_cell_angle_beta 90.00
_cell_angle_gamma 90.00
loop_
_space_group_symop_operation_xyz
'x,y,z'
loop_
_atom_site_label
_atom_site_type_symbol
_atom_site_fract_x
_atom_site_fract_y
_atom_site_fract_z
Tb1 Tb 0.500 0.000 0.000
Gd1 Gd 0.000 0.667 0.333
Al1 Al 0.000 0.630 0.815
Al2 Al 0.000 0.185 0.370
Al3 Al 0.000 0.185 0.815
Al4 Al 0.500 0.037 0.518
Al5 Al 0.500 0.482 0.963
Al6 Al 0.500 0.482 0.518
```